Entry 1:
The following is a PBE-GGA calculation of a geometry-optimized Mg2CuNi structure, from Alexandria via LeMat-Bulk.

Summary:
**Energy relative to the elements**: -0.09 eV per atom
**M_tot**: 0.000 μB per cell
**E_tot**: -3.361 eV/atom
**Density of states at the Fermi level**: 1.9 states/eV/f.u.

Cell and atoms, written as POSCAR:
```
Mg2CuNi
1.0
5.048 0.005 -0.021
4.232 2.752 -0.021
1.332 0.396 4.359
Mg Cu Ni
2 1 1
Direct
0.983 0.983 0.049
0.773 0.773 0.692
0.225 0.225 0.230
0.520 0.520 0.529
```

---

Entry 2:
The following is a PBE-GGA calculation of a geometry-optimized Mg2CuNi structure, from Alexandria via LeMat-Bulk.

Summary:
**Energy relative to the elements**: 0.21 eV per atom
**M_tot**: 0.000 μB per cell
**E_tot**: -3.061 eV/atom
**Density of states at the Fermi level**: 1.7 states/eV/f.u.

Cell and atoms, written as POSCAR:
```
Mg2CuNi
1.0
6.889 0.000 0.000
0.000 6.889 0.000
3.444 3.444 2.717
Mg Ni Cu
4 2 2
Direct
0.619 0.125 0.250
0.375 0.381 0.750
0.131 0.625 0.250
0.875 0.869 0.750
0.250 0.750 0.500
0.500 0.500 0.000
0.000 0.000 0.000
0.750 0.250 0.500
```